15
Lattice="-5.156 1.958 -2.153 0.262 -2.242 5.474 1.754 8.238 3.291" Properties=species:S:1:pos:R:3 comment="Er3Ni9SnGe2 | the Alexandria database | PBE-GGA | optimized geometry" final_energy_ev_per_cell=-81.75 sg="P-3m1, No. 164" e_form_ev_per_atom=-0.186 rho_g_cm3=7.8 n_ef_per_ev_cell=8.5 pbc="T T T"
Er -0.253 5.220 5.352
Ni -0.153 1.861 2.058
Er -2.887 2.735 1.258
Ni -2.447 -0.142 1.660
Ni -0.062 6.263 2.568
Ni -2.987 6.093 4.553
Ge -1.236 0.605 3.509
Sn 0.877 4.119 1.645
Ni 0.131 -1.121 2.737
Ni -3.078 1.691 4.043
Ni -2.578 0.979 -1.077
Ge -1.904 7.349 3.101
Ni -3.144 7.433 1.281
Er 0.000 0.000 0.000
Ni 0.004 0.521 5.330